DFT (PBE) results for a relaxed TmAl11Tc crystal.

symmetry: C2/m (12)
DFT formation energy: -0.225 eV/atom

abc: 6.882 6.882 7.046
angles: 97.89 97.89 135.06
Fractional coordinates of all 13 atoms:
Tm 0.000 0.000 0.000
Al 0.000 0.000 0.500
Al 0.000 0.500 0.000
Al 0.018 0.363 0.359
Al 0.287 0.501 0.781
Al 0.363 0.018 0.359
Al 0.499 0.713 0.219
Al 0.500 0.000 0.000
Al 0.501 0.287 0.781
Al 0.637 0.982 0.641
Al 0.713 0.499 0.219
Al 0.982 0.637 0.641
Tc 0.500 0.500 0.500


DFT (PBE) results for a relaxed LuPuIn2 crystal.

symmetry: P4/mmm (123)
DFT formation energy: -0.240 eV/atom

abc: 4.766 4.766 4.560
angles: 90.00 90.00 90.00
Fractional coordinates of all 4 atoms:
Lu 0.000 0.000 0.000
Pu 0.500 0.500 0.000
In 0.000 0.500 0.500
In 0.500 0.000 0.500


DFT (PBE) results for a relaxed Ho2HOs crystal.

symmetry: R-3m (166)
calculated total energy: -6.01 eV per atom

abc: 7.186 7.186 7.186
angles: 28.38 28.38 28.38
Fractional coordinates of all 4 atoms:
Ho 0.240 0.240 0.240
Ho 0.760 0.760 0.760
H 0.500 0.500 0.500
Os 0.000 0.000 0.000


DFT (PBE) results for a relaxed Cs3HoTh2S6 crystal.

symmetry: C2/m (12)
formation energy from raw total energies: -1.70 eV/atom

abc: 7.172 7.172 8.475
angles: 98.11 98.11 120.00
Fractional coordinates of all 12 atoms:
Cs 0.000 0.000 0.000
Cs 0.333 0.667 0.000
Cs 0.667 0.333 0.000
Ho 0.500 0.500 0.500
Th 0.167 0.833 0.500
Th 0.833 0.167 0.500
S 0.110 0.438 0.313
S 0.234 0.234 0.687
S 0.438 0.110 0.313
S 0.562 0.890 0.687
S 0.766 0.766 0.313
S 0.890 0.562 0.687


Q: Which total magnetic moment values were calculated for the entries above? A: 0.0, 6.2, 0.0, 0.0, in μB/f.u..